(1)
The following is a DFT calculation (PBE) of a geometry-optimized EuGd3N structure.

Cell and atoms, written as POSCAR:
```
EuGd3N
1.0
5.073 0.000 0.000
0.000 5.073 0.000
0.000 0.000 5.073
Eu Gd N
1 3 1
direct
0.000 0.000 0.000 Eu
0.000 0.500 0.500 Gd
0.500 0.000 0.500 Gd
0.500 0.500 0.000 Gd
0.500 0.500 0.500 N
```

## Properties
N(E_F) in states/eV/atom: 1.1370
Total DFT energy (no corrections) in eV/cell: -63.1
Uncorrected formation energy in eV/atom: -0.4531
Symmetry: Pm-3m, No. 221

***

(2)
The following is a DFT calculation (PBE) of a geometry-optimized TbNi3H3 structure.

Cell and atoms, written as POSCAR:
```
TbNi3H3
1.0
0.000 4.283 4.283
4.283 0.000 4.283
4.283 4.283 0.000
Tb Ni H
2 6 6
direct
0.250 0.250 0.250 Tb
0.750 0.750 0.750 Tb
0.196 0.196 0.804 Ni
0.196 0.804 0.196 Ni
0.196 0.804 0.804 Ni
0.804 0.196 0.196 Ni
0.804 0.196 0.804 Ni
0.804 0.804 0.196 Ni
0.367 0.367 0.633 H
0.367 0.633 0.367 H
0.367 0.633 0.633 H
0.633 0.367 0.367 H
0.633 0.367 0.633 H
0.633 0.633 0.367 H
```

## Properties
N(E_F) in states/eV/atom: 0.8088
Total DFT energy (no corrections) in eV/cell: -61.6
Symmetry: Fm-3m, No. 225

***

(3)
The following is a DFT calculation (PBE) of a geometry-optimized Ce7ZnPt4 structure.

Cell and atoms, written as POSCAR:
```
Ce7ZnPt4
1.0
6.667 -2.785 0.000
6.667 2.785 0.000
-5.540 0.000 8.060
Ce Zn Pt
7 1 4
direct
0.000 0.000 0.000 Ce
0.186 0.186 0.629 Ce
0.313 0.313 0.107 Ce
0.429 0.429 0.635 Ce
0.571 0.571 0.365 Ce
0.687 0.687 0.893 Ce
0.814 0.814 0.371 Ce
0.500 0.500 0.000 Zn
0.058 0.058 0.768 Pt
0.205 0.205 0.328 Pt
0.795 0.795 0.672 Pt
0.942 0.942 0.232 Pt
```

## Properties
N(E_F) in states/eV/atom: 2.8048
Total DFT energy (no corrections) in eV/cell: -74.2
Symmetry: C2/m, No. 12

***

(4)
The following is a DFT calculation (PBE) of a geometry-optimized AlW2Se structure.

Cell and atoms, written as POSCAR:
```
AlW2Se
1.0
4.546 -1.557 0.000
4.546 1.557 0.000
-0.664 0.000 4.575
Al W Se
1 2 1
direct
0.000 0.000 0.000 Al
0.247 0.247 0.755 W
0.753 0.753 0.245 W
0.500 0.500 0.500 Se
```

## Properties
N(E_F) in states/eV/atom: 0.6303
Total DFT energy (no corrections) in eV/cell: -31.7
Distance to the lowest polymorph of the same formula in eV per atom: 0.233
Uncorrected formation energy in eV/atom: 0.3550
Symmetry: C2/m, No. 12

***

(5)
The following is a DFT calculation (PBE) of a geometry-optimized Pr3Nd2Dy5 structure.

Cell and atoms, written as POSCAR:
```
Pr3Nd2Dy5
1.0
5.370 -8.311 0.000
5.370 8.311 0.000
-5.367 0.000 7.627
Pr Nd Dy
6 4 10
direct
0.023 0.271 0.046 Pr
0.230 0.770 0.750 Pr
0.271 0.023 0.546 Pr
0.729 0.977 0.454 Pr
0.770 0.230 0.250 Pr
0.977 0.729 0.954 Pr
0.232 0.473 0.457 Nd
0.473 0.232 0.957 Nd
0.527 0.768 0.043 Nd
0.768 0.527 0.543 Nd
0.026 0.974 0.750 Dy
0.138 0.369 0.759 Dy
0.274 0.726 0.250 Dy
0.369 0.138 0.259 Dy
0.471 0.529 0.250 Dy
0.529 0.471 0.750 Dy
0.631 0.862 0.741 Dy
0.726 0.274 0.750 Dy
0.862 0.631 0.241 Dy
0.974 0.026 0.250 Dy
```

## Properties
N(E_F) in states/eV/atom: 1.5864
Total DFT energy (no corrections) in eV/cell: -90.2
Symmetry: C2/c, No. 15

***

(6)
The following is a DFT calculation (PBE) of a geometry-optimized NaTiBeSe3 structure.

Cell and atoms, written as POSCAR:
```
NaTiBeSe3
1.0
8.365 0.000 0.000
0.000 3.680 0.000
-2.890 0.000 8.391
Na Ti Be Se
2 2 2 6
direct
0.186 0.250 0.226 Na
0.814 0.750 0.774 Na
0.353 0.750 0.871 Ti
0.647 0.250 0.129 Ti
0.083 0.250 0.599 Be
0.917 0.750 0.401 Be
0.123 0.250 0.858 Se
0.204 0.750 0.531 Se
0.450 0.750 0.174 Se
0.550 0.250 0.826 Se
0.796 0.250 0.469 Se
0.877 0.750 0.142 Se
```

## Properties
N(E_F) in states/eV/atom: 0.2777
Total DFT energy (no corrections) in eV/cell: -59.1
Uncorrected formation energy in eV/atom: -1.0262
Symmetry: P2_1/m, No. 11

***

(7)
The following is a DFT calculation (PBE) of a geometry-optimized Sm3Tl2I2 structure.

Cell and atoms, written as POSCAR:
```
Sm3Tl2I2
1.0
4.544 0.000 0.000
-2.271 5.656 0.000
-0.018 -2.930 9.156
Sm Tl I
3 2 2
direct
0.000 0.000 0.000 Sm
0.213 0.428 0.719 Sm
0.787 0.572 0.281 Sm
0.336 0.672 0.080 Tl
0.664 0.328 0.920 Tl
0.104 0.204 0.359 I
0.896 0.796 0.641 I
```

## Properties
N(E_F) in states/eV/atom: 0.7382
Total DFT energy (no corrections) in eV/cell: -26.2
Uncorrected formation energy in eV/atom: -0.6020
Symmetry: P-1, No. 2

***

(8)
The following is a DFT calculation (PBE) of a geometry-optimized Zn2CuSiAs structure.

Cell and atoms, written as POSCAR:
```
Zn2CuSiAs
1.0
4.625 0.000 0.000
0.000 4.625 0.000
0.000 0.000 4.400
Zn Cu Si As
2 1 1 1
direct
0.000 0.500 0.000 Zn
0.500 0.000 0.000 Zn
0.000 0.000 0.000 Cu
0.000 0.000 0.500 Si
0.500 0.500 0.500 As
```

## Properties
N(E_F) in states/eV/atom: 0.6034
Total DFT energy (no corrections) in eV/cell: -14.2
Uncorrected formation energy in eV/atom: 0.4975
Symmetry: P4/mmm, No. 123